A relaxed structure of LiVP3HO10, computed with GGA+U.

Computed properties:
Total energy, eV per atom: -7.00
Energy above the lowest structure with this stoichiometry, kJ/mol of formula units: 0

abc: 8.825 5.185 11.963
angles: 90.00 124.06 90.00
Space group P2/c (No. 13)
Inequivalent atoms, fractional coordinates:
Li: 0.000 0.229 0.250 [2 per cell]
V: 0.500 0.500 0.000 [2 per cell]
P: 0.253 0.001 0.985 [4 per cell]
P: 0.500 0.257 0.750 [2 per cell]
H: 0.000 0.000 0.000 [2 per cell]
O: 0.046 0.037 0.422 [4 per cell]
O: 0.298 0.281 0.979 [4 per cell]
O: 0.309 0.195 0.420 [4 per cell]
O: 0.347 0.063 0.644 [4 per cell]
O: 0.419 0.409 0.811 [4 per cell]